Run 1
This record from Alexandria describes an optimized crystal structure of AlSi2Sb. The functional is GGA-PBEsol.

Values from the calculation:
The space group is P4mm. The density of states at the Fermi level is 0.53 states/eV/atom.

abc: 3.248 3.248 6.876
angles: 90.00 90.00 90.00
Atoms (fractional coordinates):
1 Si 0.500 0.500 0.224
2 Al 0.000 0.000 0.453
3 Si 0.000 0.000 0.064
4 Sb 0.500 0.500 0.759


Run 2
This record from Alexandria describes an optimized crystal structure of AlSi2Sb. The functional is GGA-PBEsol.

Values from the calculation:
The space group is Cmmm. The density of states at the Fermi level is 0.41 states/eV/atom.

abc: 2.964 2.964 8.359
angles: 90.00 90.00 95.74
Atoms (fractional coordinates):
1 Sb 0.500 0.500 0.000
2 Si 0.000 0.000 0.708
3 Al 0.500 0.500 0.500
4 Si 0.000 0.000 0.292


Need the numbers? Relative energies in meV/atom: run 1 0; run 2 60.